No. 1
Density functional theory data (GGA-PBE) for crystalline Tb3Pr5Sm at its relaxed geometry.

* final energy: -4.1895 eV per atom
* formation energy from the elements: 0.53 eV per atom
* DOS(E_F): 57.434 states/eV per cell
* crystal system: monoclinic

Lattice parameters (Å, degrees): 11.5995 11.5318 11.7946 90.00 115.92 90.00
Space group C2/m (No. 12)
Asymmetric unit:
Tb1 0.0000 0.0000 0.0000 x2
Tb2 0.0000 0.0000 0.5000 x2
Tb3 0.1195 0.5000 0.1558 x4
Tb4 0.2067 0.0000 0.3485 x4
Pr1 0.0000 0.2566 0.0000 x4
Pr2 0.0264 0.5000 0.3804 x4
Pr3 0.1936 0.5000 0.9054 x4
Pr4 0.2078 0.2326 0.6478 x8
Sm1 0.0905 0.0000 0.7949 x4

No. 2
Density functional theory data (GGA-PBE) for crystalline Tb2PrSm2 at its relaxed geometry.

* final energy: -4.5679 eV per atom
* formation energy from the elements: 0.13 eV per atom
* DOS(E_F): 27.349 states/eV per cell
* crystal system: monoclinic

Lattice parameters (Å, degrees): 9.7193 8.0914 9.3756 90.00 113.91 90.00
Space group C2/c (No. 15)
Asymmetric unit:
Tb1 0.1639 0.0603 0.4749 x8
Pr1 0.0000 0.2830 0.7500 x4
Sm1 0.1150 0.3321 0.1491 x8

No. 3
Density functional theory data (GGA-PBE) for crystalline Tb3Pr8Sm at its relaxed geometry.

* final energy: -4.1794 eV per atom
* formation energy from the elements: 0.56 eV per atom
* DOS(E_F): 37.792 states/eV per cell
* crystal system: tetragonal

Lattice parameters (Å, degrees): 8.8532 8.8532 11.7117 90.00 90.00 90.00
Space group I-42m (No. 121)
Asymmetric unit:
Tb1 0.0000 0.0000 0.0000 x2
Tb2 0.0000 0.5000 0.2500 x4
Pr1 0.1242 0.1242 0.2491 x8
Pr2 0.2489 0.2489 0.9970 x8
Sm1 0.0000 0.0000 0.5000 x2

No. 4
Density functional theory data (GGA-PBE) for crystalline Tb2Pr7Sm3 at its relaxed geometry.

* final energy: -4.6507 eV per atom
* formation energy from the elements: 0.09 eV per atom
* DOS(E_F): 17.428 states/eV per cell
* crystal system: monoclinic

Lattice parameters (Å, degrees): 5.9950 3.6474 19.3652 90.00 93.42 90.00
Space group P2/m (No. 10)
Asymmetric unit:
Tb1 0.2076 0.0000 0.2969 x2
Pr1 0.1788 0.5000 0.1456 x2
Pr2 0.2428 0.0000 0.4647 x2
Pr3 0.3183 0.0000 0.8168 x2
Pr4 0.5000 0.5000 0.0000 x1
Sm1 0.0000 0.0000 0.0000 x1
Sm2 0.2826 0.5000 0.6332 x2

No. 5
Density functional theory data (GGA-PBE) for crystalline TbPr2Sm4 at its relaxed geometry.

* final energy: -4.7111 eV per atom
* formation energy from the elements: 0.01 eV per atom
* DOS(E_F): 26.922 states/eV per cell
* crystal system: trigonal

Lattice parameters (Å, degrees): 3.6427 3.6427 62.3976 90.00 90.00 120.00
Space group R-3m (No. 166, hexagonal axes)
Asymmetric unit:
Tb1 0.0000 0.0000 0.0000 x3
Pr1 0.0000 0.0000 0.4282 x6
Sm1 0.0000 0.0000 0.1431 x6
Sm2 0.0000 0.0000 0.2867 x6

No. 6
Density functional theory data (GGA-PBE) for crystalline TbPr2Sm7 at its relaxed geometry.

* final energy: -4.5719 eV per atom
* formation energy from the elements: 0.15 eV per atom
* DOS(E_F): 31.642 states/eV per cell
* crystal system: orthorhombic

Lattice parameters (Å, degrees): 6.7067 29.3894 3.5000 90.00 90.00 90.00
Space group Cmmm (No. 65)
Asymmetric unit:
Tb1 0.0000 0.0000 0.0000 x2
Pr1 0.0000 0.2954 0.5000 x4
Sm1 0.0000 0.1873 0.0000 x4
Sm2 0.0000 0.5000 0.5000 x2
Sm3 0.2448 0.0979 0.5000 x8

No. 7
Density functional theory data (GGA-PBE) for crystalline TbPr2Sm4 at its relaxed geometry.

* final energy: -4.5475 eV per atom
* formation energy from the elements: 0.18 eV per atom
* DOS(E_F): 47.252 states/eV per cell
* crystal system: orthorhombic

Lattice parameters (Å, degrees): 16.4006 16.4141 3.6729 90.00 90.00 90.00
Space group Cmme (No. 67)
Asymmetric unit:
Tb1 0.0000 0.2500 0.0142 x4
Pr1 0.0000 0.0000 0.0000 x4
Pr2 0.2500 0.2500 0.0000 x4
Sm1 0.1415 0.1084 0.5116 x16

No. 8
Density functional theory data (GGA-PBE) for crystalline Tb7Pr4Sm at its relaxed geometry.

* final energy: -4.4381 eV per atom
* formation energy from the elements: 0.25 eV per atom
* DOS(E_F): 39.423 states/eV per cell
* crystal system: monoclinic

Lattice parameters (Å, degrees): 12.1714 5.9837 12.9431 90.00 117.98 90.00
Space group C2/m (No. 12)
Asymmetric unit:
Tb1 0.0000 0.0000 0.0000 x2
Tb2 0.0689 0.5000 0.3149 x4
Tb3 0.1318 0.0000 0.4960 x4
Tb4 0.2109 0.5000 0.9231 x4
Pr1 0.1370 0.0000 0.7772 x4
Pr2 0.2254 0.5000 0.6686 x4
Sm1 0.0000 0.5000 0.0000 x2